Material: Na2HfTiIn
Method: DFT, PBE-GGA
State: optimized geometry

Lattice parameters (Å, degrees): 6.209 6.209 5.405 90.00 90.00 90.00
Fractional positions:
1 Na 0.000 0.500 0.000
2 Na 0.500 0.000 0.000
3 Hf 0.000 0.000 0.500
4 Ti 0.000 0.000 0.000
5 In 0.500 0.500 0.500

Properties
**ΔE_f**: 1276 meV/atom
**Electronic total energy**: -16.85 eV/cell